(1)
This record from Alexandria describes a relaxed structure of KCu2Rh. The functional is GGA-PBEsol.

- E_form (eV per atom) = 0.490
- D(E_F) (states/eV per atom) = 0.78
- density (g/cm³) = 5.97
- total energy (eV per atom) = -3.995

Lattice parameters (Å, degrees): 2.6343 4.1573 6.9549 90.00 100.87 90.00
With the nearest neighbours (Å) after each atom.
Fractional positions:
1 K 0.0000 0.0000 0.0000  2 K 2.63
2 Cu 0.2168 0.0000 0.4534  4 Rh 2.53-2.54, 4 Cu 2.57-2.63
3 Cu 0.3310 0.5000 0.6736  2 Rh 2.48, 4 Cu 2.57-2.63
4 Rh 0.6751 0.5000 0.3657  6 Cu 2.48-2.54, 2 Rh 2.63

---

(2)
This record from Alexandria describes a relaxed structure of KCuRh2. The functional is GGA-PBEsol.

- E_form (eV per atom) = 1.078
- D(E_F) (states/eV per atom) = 2.20
- density (g/cm³) = 8.14
- total energy (eV per atom) = -4.358

Lattice parameters (Å, degrees): 4.4653 4.4653 4.4653 60.00 60.00 60.00
With the nearest neighbours (Å) after each atom.
Fractional positions:
1 K 0.0000 0.0000 0.0000  8 Rh 2.73
2 Cu 0.5000 0.5000 0.5000  8 Rh 2.73
3 Rh 0.2500 0.2500 0.2500  4 K 2.73, 4 Cu 2.73
4 Rh 0.7500 0.7500 0.7500  4 Cu 2.73, 4 K 2.73

---

(3)
This record from Alexandria describes a relaxed structure of KCuRu2. The functional is GGA-PBEsol.

- E_form (eV per atom) = 1.653
- D(E_F) (states/eV per atom) = 1.09
- density (g/cm³) = 8.10
- total energy (eV per atom) = -4.800

Lattice parameters (Å, degrees): 4.4533 4.4533 4.4533 60.00 60.00 60.00
With the nearest neighbours (Å) after each atom.
Fractional positions:
1 K 0.0000 0.0000 0.0000  8 Ru 2.73
2 Cu 0.5000 0.5000 0.5000  8 Ru 2.73
3 Ru 0.2500 0.2500 0.2500  4 K 2.73, 4 Cu 2.73
4 Ru 0.7500 0.7500 0.7500  4 K 2.73, 4 Cu 2.73